Compound: Na2Ti9O19
Source: the Alexandria database
Functional: GGA-PBEsol
Structure: relaxed

Lattice parameters (Å, degrees): 6.3707 6.3707 15.6158 103.37 103.37 34.49
With the nearest neighbours (Å) after each atom.
Element x y z (fractional)
Na  0.1706  0.1706  0.4628  4 O 2.21-2.41
Na  0.8294  0.8294  0.5372  4 O 2.21-2.41
Ti  0.2876  0.2876  0.2970  5 O 1.79-2.00
Ti  0.3113  0.3113  0.8822  4 O 1.77-1.96
Ti  0.3902  0.3902  0.1200  4 O 1.85-1.94
Ti  0.4183  0.4183  0.7086  4 O 1.82-1.95
Ti  0.5000  0.5000  0.5000  6 O 1.89-2.04
Ti  0.5817  0.5817  0.2914  4 O 1.82-1.95
Ti  0.6098  0.6098  0.8800  4 O 1.85-1.94
Ti  0.6887  0.6887  0.1178  4 O 1.77-1.96
Ti  0.7124  0.7124  0.7030  5 O 1.79-2.00
O  0.0000  0.0000  0.5000  2 Ti 1.89
O  0.1226  0.1226  0.2951  3 Ti 1.95-2.00
O  0.1457  0.1457  0.8784  3 Ti 1.94-2.00
O  0.2266  0.2266  0.1438  3 Ti 1.96-2.11
O  0.2528  0.2528  0.7286  3 Ti 1.97-2.11
O  0.3442  0.3442  0.4138  1 Ti 1.79
O  0.3649  0.3649  0.9980  2 Ti 1.77-1.85
O  0.4124  0.4124  0.5912  2 Ti 1.82-1.97
O  0.4230  0.4230  0.2577  3 Ti 1.88-2.09
O  0.4517  0.4517  0.8476  2 Ti 1.87-1.91
O  0.5483  0.5483  0.1524  2 Ti 1.87-1.91
O  0.5770  0.5770  0.7423  3 Ti 1.88-2.09
O  0.5876  0.5876  0.4088  2 Ti 1.82-1.97
O  0.6351  0.6351  0.0020  2 Ti 1.77-1.85
O  0.6558  0.6558  0.5862  1 Ti 1.79
O  0.7472  0.7472  0.2714  3 Ti 1.97-2.11
O  0.7734  0.7734  0.8562  3 Ti 1.96-2.11
O  0.8543  0.8543  0.1216  3 Ti 1.94-2.00
O  0.8774  0.8774  0.7049  3 Ti 1.95-2.00

Its calculated density is 3.7 g cm⁻³. The value obtained for the offset from the most stable computed form is 0.0 meV/atom. The total moment comes out at 0.00 Bohr magnetons per cell. The value obtained for the uncorrected formation energy is -2.927 eV/atom.